Record 1
This record from Alexandria describes a relaxed structure of Ca2CdO2F2. The functional is GGA-PBE.

Cell: 4.3014 4.3014 6.8371 Å, 108.33 108.33 90.00°
Atoms (fractional coordinates):
1 F 0.7960 0.7960 0.5920
2 F 0.2040 0.2040 0.4080
3 Ca 0.3796 0.3796 0.7593
4 Ca 0.6204 0.6204 0.2407
5 O 0.5000 0.0000 0.0000
6 O 0.0000 0.5000 0.0000
7 Cd 0.0000 0.0000 0.0000

Summary:
* ΔE_f (raw): -17.590 eV per formula unit
* symmetry: I4/mmm
* Fermi-level density of states: 0.03 states/eV/cell
* uncorrected energy: -5.17 eV/atom



Record 2
This record from Alexandria describes a relaxed structure of Ca2CdPF. The functional is GGA-PBE.

Cell: 5.7767 4.3823 5.7767 Å, 90.00 90.00 90.00°
Atoms (fractional coordinates):
1 P 0.5000 0.5000 0.5000
2 Cd 0.0000 0.0000 0.0000
3 Ca 0.0000 0.0000 0.5000
4 Ca 0.5000 0.0000 0.0000
5 F 0.0000 0.5000 0.0000

Summary:
* ΔE_f (raw): -2.080 eV per formula unit
* symmetry: P4/mmm
* Fermi-level density of states: 1.38 states/eV/cell
* uncorrected energy: -2.86 eV/atom



Record 3
This record from Alexandria describes a relaxed structure of CaCdPdF6. The functional is GGA-PBE.

Cell: 5.1694 5.1694 10.6123 Å, 90.00 90.00 90.00°
Each line ends with the local moment (μB).
Atoms (fractional coordinates):
1 F 0.6987 0.6987 0.3335  0.07
2 F 0.8103 0.1897 0.1697  0.07
3 F 0.1897 0.8103 0.1697  0.07
4 F 0.6916 0.6916 0.9970  0.07
5 F 0.1987 0.8013 0.8335  0.07
6 F 0.1916 0.8084 0.4970  0.07
7 F 0.3103 0.3103 0.6697  0.07
8 F 0.6897 0.6897 0.6697  0.07
9 F 0.8013 0.1987 0.8335  0.07
10 F 0.3084 0.3084 0.9970  0.07
11 F 0.8084 0.1916 0.4970  0.07
12 F 0.3013 0.3013 0.3335  0.07
13 Pd 0.5000 0.5000 0.8335  1.49
14 Pd 0.0000 0.0000 0.3335  1.49
15 Ca 0.5000 0.5000 0.1671  0.01
16 Ca 0.0000 0.0000 0.6671  0.01
17 Cd 0.5000 0.5000 0.4991  0.01
18 Cd 0.0000 0.0000 0.9991  0.01

Summary:
* ΔE_f (raw): -21.505 eV per formula unit
* symmetry: P4_2nm
* uncorrected energy: -4.54 eV/atom



Record 4
This record from Alexandria describes a relaxed structure of CaCd2PtF. The functional is GGA-PBE.

Cell: 5.8222 4.0344 5.8222 Å, 90.00 90.00 90.00°
Each line ends with the local moment (μB).
Atoms (fractional coordinates):
1 Pt 0.5000 0.5000 0.5000  0.26
2 F 0.0000 0.5000 0.0000  0.00
3 Cd 0.0000 0.0000 0.5000  0.00
4 Cd 0.5000 0.0000 0.0000  0.01
5 Ca 0.0000 0.0000 0.0000  0.00

Summary:
* ΔE_f (raw): -1.664 eV per formula unit
* symmetry: P4/mmm
* Fermi-level density of states: 2.66 states/eV/cell
* uncorrected energy: -2.68 eV/atom



Record 5
This record from Alexandria describes a relaxed structure of Ca2CdPtF. The functional is GGA-PBE.

Cell: 5.7699 4.3569 5.7699 Å, 90.00 90.00 90.00°
Atoms (fractional coordinates):
1 Ca 0.0000 0.0000 0.5000
2 Ca 0.5000 0.0000 0.0000
3 Cd 0.0000 0.0000 0.0000
4 Pt 0.5000 0.5000 0.5000
5 F 0.0000 0.5000 0.0000

Summary:
* ΔE_f (raw): -1.634 eV per formula unit
* symmetry: P4/mmm
* Fermi-level density of states: 3.07 states/eV/cell
* uncorrected energy: -2.89 eV/atom



Record 6
This record from Alexandria describes a relaxed structure of Rb3CaCd2F9. The functional is GGA-PBE.

Cell: 6.3678 6.3678 7.8041 Å, 90.00 90.00 120.00°
Atoms (fractional coordinates):
1 F 0.5000 0.0000 0.0000
2 F 0.1662 0.3324 0.3332
3 F 0.1662 0.8338 0.3332
4 F 0.6676 0.8338 0.3332
5 F 0.0000 0.5000 0.0000
6 F 0.5000 0.5000 0.0000
7 F 0.3324 0.1662 0.6668
8 F 0.8338 0.1662 0.6668
9 F 0.8338 0.6676 0.6668
10 Rb 0.6667 0.3333 0.3271
11 Rb 0.0000 0.0000 0.0000
12 Rb 0.3333 0.6667 0.6729
13 Ca 0.0000 0.0000 0.5000
14 Cd 0.3333 0.6667 0.1683
15 Cd 0.6667 0.3333 0.8317

Summary:
* ΔE_f (raw): -41.920 eV per formula unit
* symmetry: P-3m1
* Fermi-level density of states: 0.00 states/eV/cell
* uncorrected energy: -4.37 eV/atom



Which value of uncorrected energy does entry 4 give? -2.68 eV/atom



Which value of uncorrected energy does entry 1 give? -5.17 eV/atom



What is the ΔE_f (raw) in the fourth record? -1.664 eV per formula unit